Entry from Alexandria: crystalline TbHfHg at its relaxed geometry (PBE).

Computed properties:
As for the formation energy: -148 meV/atom. The total energy is -15.328 eV/f.u. The calculation puts the polymorph energy (0 for the lowest one) at 0.0 meV/atom.

Lattice parameters (Å, degrees): 3.399 3.399 12.761 90.00 90.00 90.00
Fractional positions:
Tb1 0.000 0.000 0.000
Tb2 0.500 0.500 0.500
Hf1 0.000 0.000 0.325
Hf2 0.500 0.500 0.825
Hg1 0.000 0.000 0.677
Hg2 0.500 0.500 0.177